# CaPr2UP4, relaxed, DFT PBE
data_CaPr2UP4
_chemical_formula_sum 'Ca2 Pr4 U2 P8'
_space_group_name_H-M_alt 'I -4 m 2'
_space_group_IT_number 119
_space_group_name_Hall 'I -4 -2'
_cell_length_a 5.8181
_cell_length_b 5.8181
_cell_length_c 11.6447
_cell_angle_alpha 90.00
_cell_angle_beta 90.00
_cell_angle_gamma 90.00
loop_
_atom_site_label
_atom_site_fract_x
_atom_site_fract_y
_atom_site_fract_z
Ca1 0.0000 0.0000 0.0000
Pr1 0.0000 0.0000 0.5000
Pr2 0.0000 0.5000 0.2500
U1 0.0000 0.5000 0.7500
P1 0.0000 0.0000 0.2505
P2 0.0000 0.5000 0.5167
# **D(E_F)**: 1.030 states/eV/atom
# **Mass density**: 5.76 g cm⁻³
# **Formation energy**: -1249 meV per atom
# **VASP energy**: -108.96 eV/cell
# **Size of the total moment**: 3.73 μB per cell